# 1
Computed, not measured: crystalline SeIOF2 at its relaxed geometry at the GGA-PBE level of DFT.

Unit cell a=4.7575 b=4.7575 c=3.7481 alpha=90.00 beta=90.00 gamma=90.00
Site moments in Bohr magnetons follow the coordinates.
Sites, in units of the cell vectors:
I 0.5000 0.5000 0.5000  0.86
O 0.0000 0.0000 0.5000  0.03
Se 0.0000 0.0000 0.0000  -0.01
F 0.0000 0.5000 0.0000  0.11
F 0.5000 0.0000 0.0000  0.11

Properties
E_form (uncorrected) ... -1.7 eV/f.u.
Distance to the lowest polymorph of the same formula ... 0 meV/atom
Energy ... -15.45 eV for the cell shown
Symmetry ... No. 123

# 2
Computed, not measured: crystalline SiIOF2 at its relaxed geometry at the GGA-PBE level of DFT.

Unit cell a=4.6527 b=4.6527 c=3.2902 alpha=90.00 beta=90.00 gamma=90.00
Sites, in units of the cell vectors:
I 0.5000 0.5000 0.5000
Si 0.0000 0.0000 0.0000
O 0.0000 0.0000 0.5000
F 0.0000 0.5000 0.0000
F 0.5000 0.0000 0.0000

Properties
E_form (uncorrected) ... -5.2 eV/f.u.
Distance to the lowest polymorph of the same formula ... 0 meV/atom
Energy ... -20.91 eV for the cell shown
Symmetry ... No. 123

# 3
Computed, not measured: crystalline SiIOF2 at its relaxed geometry at the GGA-PBE level of DFT.

Unit cell a=4.9366 b=4.9366 c=3.9979 alpha=90.00 beta=90.00 gamma=90.00
Site moments in Bohr magnetons follow the coordinates.
Sites, in units of the cell vectors:
I 0.0000 0.0000 0.0000  -0.04
Si 0.5000 0.5000 0.5000  0.23
O 0.0000 0.0000 0.5000  0.00
F 0.0000 0.5000 0.0000  0.01
F 0.5000 0.0000 0.0000  0.01

Properties
E_form (uncorrected) ... 0.2 eV/f.u.
Distance to the lowest polymorph of the same formula ... 1082 meV/atom
Energy ... -15.50 eV for the cell shown
Symmetry ... No. 123

# 4
Computed, not measured: crystalline SnIOF2 at its relaxed geometry at the GGA-PBE level of DFT.

Unit cell a=5.0966 b=5.0966 c=4.0103 alpha=90.00 beta=90.00 gamma=90.00
Site moments in Bohr magnetons follow the coordinates.
Sites, in units of the cell vectors:
I 0.0000 0.0000 0.0000  0.04
Sn 0.5000 0.5000 0.5000  0.07
O 0.0000 0.0000 0.5000  0.01
F 0.0000 0.5000 0.0000  0.02
F 0.5000 0.0000 0.0000  0.02

Properties
E_form (uncorrected) ... -2.4 eV/f.u.
Distance to the lowest polymorph of the same formula ... 614 meV/atom
Energy ... -16.66 eV for the cell shown
Symmetry ... No. 123

# 5
Computed, not measured: crystalline SnIOF2 at its relaxed geometry at the GGA-PBE level of DFT.

Unit cell a=4.5019 b=4.5019 c=4.1343 alpha=90.00 beta=90.00 gamma=90.00
Site moments in Bohr magnetons follow the coordinates.
Sites, in units of the cell vectors:
I 0.5000 0.5000 0.5000  0.71
Sn 0.0000 0.0000 0.0000  -0.01
O 0.0000 0.0000 0.5000  0.24
F 0.0000 0.5000 0.0000  0.04
F 0.5000 0.0000 0.0000  0.04

Properties
E_form (uncorrected) ... -5.5 eV/f.u.
Distance to the lowest polymorph of the same formula ... 0 meV/atom
Energy ... -19.73 eV for the cell shown
Symmetry ... No. 123

# 6
Computed, not measured: crystalline SrI2OF at its relaxed geometry at the GGA-PBE level of DFT.

Unit cell a=6.5694 b=6.5694 c=4.5270 alpha=90.00 beta=90.00 gamma=90.00
Site moments in Bohr magnetons follow the coordinates.
Sites, in units of the cell vectors:
I 0.0000 0.5000 0.0000  0.47
I 0.5000 0.0000 0.0000  0.47
Sr 0.0000 0.0000 0.0000  0.01
O 0.0000 0.0000 0.5000  0.76
F 0.5000 0.5000 0.5000  0.50

Properties
E_form (uncorrected) ... -2.6 eV/f.u.
Distance to the lowest polymorph of the same formula ... 75 meV/atom
Energy ... -14.17 eV for the cell shown
Symmetry ... No. 123

# 7
Computed, not measured: crystalline Sr3IO6F2 at its relaxed geometry at the GGA-PBE level of DFT.

Unit cell a=5.1300 b=6.8826 c=7.0607 alpha=119.17 beta=91.43 gamma=90.00
Site moments in Bohr magnetons follow the coordinates.
Sites, in units of the cell vectors:
Sr 0.0000 0.5000 0.0000  0.00
Sr 0.5000 0.5000 0.5000  0.00
Sr 0.5000 0.0000 0.5000  0.00
I 0.5000 0.0000 0.0000  -0.02
O 0.7091 0.2680 0.1253  0.21
O 0.2909 0.7320 0.8747  0.21
O 0.6931 0.8716 0.7431  0.03
O 0.3069 0.1284 0.2569  0.03
O 0.2909 0.1427 0.8747  0.21
O 0.7091 0.8573 0.1253  0.21
F 0.2257 0.6729 0.3458  0.00
F 0.7743 0.3271 0.6542  0.00

Properties
E_form (uncorrected) ... -23.9 eV/f.u.
Energy ... -64.01 eV for the cell shown
Symmetry ... No. 12

# 8
Computed, not measured: crystalline SrIOF2 at its relaxed geometry at the GGA-PBE level of DFT.

Unit cell a=4.9831 b=4.9831 c=4.3301 alpha=90.00 beta=90.00 gamma=90.00
Sites, in units of the cell vectors:
I 0.0000 0.0000 0.0000
Sr 0.5000 0.5000 0.5000
O 0.0000 0.0000 0.5000
F 0.0000 0.5000 0.0000
F 0.5000 0.0000 0.0000

Properties
E_form (uncorrected) ... -6.8 eV/f.u.
Distance to the lowest polymorph of the same formula ... 141 meV/atom
Energy ... -18.74 eV for the cell shown
Symmetry ... No. 123

Copy entry 2 word for word.
Computed, not measured: crystalline SiIOF2 at its relaxed geometry at the GGA-PBE level of DFT.

Unit cell a=4.6527 b=4.6527 c=3.2902 alpha=90.00 beta=90.00 gamma=90.00
Sites, in units of the cell vectors:
I 0.5000 0.5000 0.5000
Si 0.0000 0.0000 0.0000
O 0.0000 0.0000 0.5000
F 0.0000 0.5000 0.0000
F 0.5000 0.0000 0.0000

Properties
E_form (uncorrected) ... -5.2 eV/f.u.
Distance to the lowest polymorph of the same formula ... 0 meV/atom
Energy ... -20.91 eV for the cell shown
Symmetry ... No. 123

Question: Look up the energy of the seventh one.
Answer: -64.01 eV for the cell shown

Question: Look up the E_form (uncorrected) of the second one.
Answer: -5.2 eV/f.u.